VASP calculation (GGA-PBE) on LuNbCuGe after structural relaxation.

```
LuNbCuGe
1.0
0.000 3.286 3.286
3.286 0.000 3.286
3.286 3.286 0.000
Lu Nb Ge Cu
1 1 1 1
Direct
0.500 0.500 0.500 Lu
0.250 0.250 0.250 Nb
0.000 0.000 0.000 Ge
0.750 0.750 0.750 Cu
```

SG: No. 216
polymorph energy (0 for the lowest one): 0.000 eV per atom
crystal system: cubic

---

VASP calculation (GGA-PBE) on ZrAlZnCo after structural relaxation.

```
ZrAlZnCo
1.0
-3.804 -1.376 1.758
-1.442 1.750 3.783
-3.519 2.658 0.000
Co Zn Zr Al
1 1 1 1
Direct
0.750 0.750 0.750 Co
0.500 0.500 0.500 Zn
0.250 0.250 0.250 Zr
0.000 0.000 0.000 Al
```

SG: No. 216
polymorph energy (0 for the lowest one): 0.209 eV per atom
crystal system: cubic

---

VASP calculation (GGA-PBE) on Ta4Co2IrSe12 after structural relaxation.

```
Ta4Co2IrSe12
1.0
0.163 7.113 -0.230
-2.546 6.429 1.695
11.607 -6.479 14.031
Se Co Ir Ta
12 2 1 4
Direct
0.807 0.807 0.235 Se
0.193 0.193 0.765 Se
0.188 0.188 0.071 Se
0.033 0.033 0.883 Se
0.397 0.397 0.722 Se
0.603 0.603 0.278 Se
0.812 0.812 0.929 Se
0.378 0.378 0.395 Se
0.134 0.134 0.448 Se
0.967 0.967 0.117 Se
0.622 0.622 0.605 Se
0.866 0.866 0.552 Se
0.770 0.770 0.716 Co
0.230 0.230 0.284 Co
0.000 0.000 0.000 Ir
0.621 0.621 0.146 Ta
0.746 0.746 0.406 Ta
0.254 0.254 0.594 Ta
0.379 0.379 0.854 Ta
```

SG: No. 12
crystal system: monoclinic

---

| no. | total magnetic moment (μB/atom) | energy (eV for the cell shown) |
| --- | --- | --- |
| 1 | 0.006 | -21.970 |
| 2 | 0.045 | -21.349 |
| 3 | 0.000 | -124.950 |